This record from Alexandria describes a relaxed CsLiCrO2 crystal. The functional is GGA+U.

Unit cell a=6.0886 b=11.5119 c=6.2034 alpha=90.00 beta=90.00 gamma=90.00
With the nearest neighbours (Å) after each atom.
Space group Cmme (No. 67)
Asymmetric unit:
Cs 0.0000 0.2500 0.2471 x4  2 O 3.08, 2 Li 3.28
Li 0.0000 0.0000 0.5000 x4  2 O 1.77
Cr 0.2500 0.0000 0.0000 x4  4 O 2.04
O 0.0000 0.0170 0.7839 x8  1 Li 1.77

Energy ... -5.42 eV per atom

---

This record from Alexandria describes a relaxed CsLiCrO4 crystal. The functional is GGA+U.

Unit cell a=5.7025 b=9.2325 c=11.3281 alpha=90.00 beta=119.84 gamma=90.00
With the nearest neighbours (Å) after each atom.
Space group P2_1/c (No. 14)
Asymmetric unit:
Cs 0.0487 0.9997 0.2782 x4  6 O 3.05-3.40
Li 0.3505 0.1863 0.0894 x4  4 O 1.97-1.98
Cr 0.3156 0.7063 0.5743 x4  4 O 1.66-1.67
O 0.0085 0.7445 0.9509 x4  1 Cr 1.67
O 0.3349 0.5270 0.5826 x4  1 Cr 1.66
O 0.3670 0.7293 0.2230 x4  1 Cr 1.67
O 0.4534 0.2281 0.4611 x4  1 Cr 1.67

Relative energy among the computed polymorphs ... 0.000 eV per atom